Lu3Ge4: relaxed, PBE.

Unit cell a=3.9822 b=10.5036 c=14.1094 alpha=90.00 beta=90.00 gamma=90.00
With the nearest neighbours (Å) after each atom.
Space group Cmcm (No. 63)
Asymmetric unit:
Lu (0.0000, 0.0505, 0.2500) (multiplicity 4)  7 Ge 2.83-3.13
Lu (0.0000, 0.3321, 0.0975) (multiplicity 8)  8 Ge 2.94-3.04
Ge (0.0000, 0.0000, 0.0000) (multiplicity 4)  4 Ge 2.81, 4 Lu 2.99
Ge (0.0000, 0.2191, 0.7500) (multiplicity 4)  2 Ge 2.61, 1 Lu 2.83
Ge (0.0000, 0.3785, 0.6080) (multiplicity 8)  3 Ge 2.61-2.81, 2 Lu 2.92

## Properties
Crystal system = orthorhombic
ΔE_f = -0.73 eV per atom


Rb2PmTmO4: relaxed, PBE.

Unit cell a=6.1411 b=3.5452 c=6.8819 alpha=90.00 beta=107.25 gamma=90.00
With the nearest neighbours (Å) after each atom.
Space group P2/m (No. 10)
Asymmetric unit:
Rb (0.0000, 0.0000, 0.0000) (multiplicity 1)  6 O 2.98-3.00
Rb (0.5000, 0.5000, 0.0000) (multiplicity 1)  6 O 2.92-2.93
Pm (0.0000, 0.5000, 0.5000) (multiplicity 1)  6 O 2.39-2.40
Tm (0.5000, 0.0000, 0.5000) (multiplicity 1)  6 O 2.29-2.32
O (0.2369, 0.0000, 0.6771) (multiplicity 2)  1 Tm 2.29, 2 Pm 2.39
O (0.2848, 0.5000, 0.3249) (multiplicity 2)  2 Tm 2.32, 1 Pm 2.40

## Properties
Crystal system = monoclinic
E_form (uncorrected) = -2.66 eV per atom


NaGdTi2O6: relaxed, PBE.

Unit cell a=7.6601 b=5.5578 c=5.3848 alpha=90.00 beta=90.00 gamma=90.00
With the nearest neighbours (Å) after each atom.
Space group Pmn2_1 (No. 31)
Asymmetric unit:
Na (0.0000, 0.2216, 0.0000) (multiplicity 2)  4 O 2.30-2.54
Gd (0.0000, 0.6830, 0.5154) (multiplicity 2)  6 O 2.34-2.48
Ti (0.2469, 0.2339, 0.5171) (multiplicity 4)  5 O 1.88-2.05
O (0.0000, 0.2708, 0.4248) (multiplicity 2)  2 Ti 1.97
O (0.0000, 0.7728, 0.0902) (multiplicity 2)  2 Ti 1.98
O (0.2021, 0.9478, 0.6939) (multiplicity 4)  2 Ti 1.88-2.05
O (0.2122, 0.4605, 0.7775) (multiplicity 4)  1 Ti 1.90

## Properties
Crystal system = orthorhombic
E_form (uncorrected) = -3.00 eV per atom


ErPuMg2: relaxed, PBE.

Unit cell a=3.2192 b=3.2192 c=10.0389 alpha=90.00 beta=90.00 gamma=90.00
With the nearest neighbours (Å) after each atom.
Space group P4/mmm (No. 123)
Asymmetric unit:
Er (0.0000, 0.0000, 0.0000) (multiplicity 1)  4 Er 3.22, 8 Mg 3.37
Pu (0.0000, 0.0000, 0.5000) (multiplicity 1)  4 Pu 3.22, 8 Mg 3.41
Mg (0.5000, 0.5000, 0.2472) (multiplicity 2)  4 Mg 3.22, 4 Er 3.37, 4 Pu 3.41

## Properties
Crystal system = tetragonal
E above lowest polymorph = 0 meV/atom
ΔE_f = 0.08 eV per atom


no.,total DFT energy (no corrections) (Ry/atom),mass density (Mg/m³)
1,-0.3898,9.2
2,-0.4799,6.4
3,-0.6684,5.4
4,-0.3997,7.3